Entry 1:
# LaMo2As

A PBEsol-optimized structure of LaMo2As (SCAN, Alexandria).

Cell: 4.538 4.824 4.538 Å, 61.94 90.00 118.06°
Atoms (fractional coordinates):
Mo 0.000 0.000 0.000
Mo 0.250 0.500 0.250
As 0.500 0.000 0.500
La 0.750 0.500 0.750

Entry 2:
# LaMo2As

A PBEsol-optimized structure of LaMo2As (SCAN, Alexandria).

Cell: 3.865 4.646 4.704 Å, 90.00 93.05 90.00°
Atoms (fractional coordinates):
Mo 0.593 0.000 0.735
Mo 0.407 0.000 0.265
As 0.500 0.500 0.000
La 0.000 0.500 0.500

Entry 3:
# La2MoAs

A PBEsol-optimized structure of La2MoAs (SCAN, Alexandria).

Cell: 3.616 4.557 6.544 Å, 110.36 106.04 90.00°
Atoms (fractional coordinates):
Mo 0.462 0.462 0.924
As 0.810 0.310 0.619
La 0.999 0.999 0.998
La 0.229 0.729 0.458

no.,energy of formation (meV/atom),density of states at the Fermi level (states/eV/f.u.)
1,345,2.9
2,200,2.5
3,-348,3.1